1.
A plane-wave DFT calculation with PBE was carried out for a relaxed structure of Pm3Sm5Ho2.

Structure (extended XYZ):
```
20
Lattice="8.729 1.869 -4.171 0.447 8.848 -4.211 -2.084 -2.350 10.778" Properties=species:S:1:pos:R:3 pbc="T T T"
Pm 6.651 1.527 -2.854
Pm 0.441 6.840 5.250
Pm 7.096 2.009 3.089
Pm 1.034 3.451 4.734
Pm 6.057 4.916 -2.338
Pm -0.005 6.358 -0.692
Sm 3.571 2.136 2.610
Sm 2.519 5.027 -2.850
Sm 5.198 8.219 -3.448
Sm -0.601 5.588 2.509
Sm 3.521 6.231 -0.214
Sm 6.197 5.263 1.872
Sm 7.693 2.779 -0.112
Sm 4.573 3.340 5.246
Sm 0.895 3.104 0.524
Sm 1.893 0.148 5.844
Ho 5.258 -0.154 4.715
Ho 2.839 5.573 3.019
Ho 1.833 8.520 -2.319
Ho 4.253 2.794 -0.623
```

Crystal system   monoclinic
Calculated formation energy   0.187 eV/atom
M_tot   0.00 μB per cell
Offset from the most stable computed form   0.000 eV per atom
Density   7.40 g/cm³

2.
A plane-wave DFT calculation with PBE was carried out for a relaxed structure of Pm4Sm5Ho3.

Structure (extended XYZ):
```
12
Lattice="-2.472 -1.306 5.270 -3.359 -8.003 -0.183 7.126 -0.225 6.663" Properties=species:S:1:pos:R:3 pbc="T T T"
Sm -1.268 -3.967 1.798
Sm 0.647 -4.768 5.875
Sm 0.956 -8.569 8.454
Sm 2.562 -5.568 9.951
Sm 0.338 -0.966 3.296
Pm -2.549 -8.753 6.764
Pm 3.844 -0.782 4.986
Pm -2.459 -2.919 4.876
Pm 3.753 -6.617 6.874
Ho 1.883 -4.114 3.240
Ho -1.671 -6.255 4.419
Ho 2.966 -3.280 7.331
```

Crystal system   monoclinic
Calculated formation energy   0.217 eV/atom
M_tot   0.00 μB per cell
Offset from the most stable computed form   0.203 eV per atom
Density   7.42 g/cm³